[1]
{"formula": "Ta2InRh", "functional": "PBE-GGA", "state": "relaxed", "dft_energy_ev_per_cell": -33.95, "magnetic_moment_mub_per_cell": 0.00, "e_form_ev_per_atom": -0.039, "mass_density_g_cm3": 13.7, "cell": [[-4.3331, -0.4356, -2.6982], [3.6082, -3.2835, -1.5635], [-0.9788, -1.9759, 1.8908]], "species": ["Ta", "Ta", "In", "Rh"], "fractional_positions": [[0.0000, 0.5000, 0.0000], [0.5000, 0.0000, 0.0000], [0.5000, 0.5000, 0.5000], [0.0000, 0.0000, 0.5000]]}



[2]
{"formula": "Ti3InCo4", "functional": "PBE-GGA", "state": "relaxed", "dft_energy_ev_per_cell": -114.84, "magnetic_moment_mub_per_cell": 5.22, "e_form_ev_per_atom": -0.322, "mass_density_g_cm3": 7.5, "cell": [[4.2468, 0.0000, 0.0000], [0.0000, 6.0638, 0.0000], [0.0000, 0.0000, 8.4942]], "species": ["In", "In", "Co", "Co", "Co", "Co", "Co", "Co", "Co", "Co", "Ti", "Ti", "Ti", "Ti", "Ti", "Ti"], "fractional_positions": [[0.0000, 0.5000, 0.0000], [0.0000, 0.5000, 0.5000], [0.5000, 0.7694, 0.0000], [0.5000, 0.7694, 0.5000], [0.5000, 0.2306, 0.0000], [0.5000, 0.2306, 0.5000], [0.0006, 0.7694, 0.7500], [0.9994, 0.7694, 0.2500], [0.9994, 0.2306, 0.2500], [0.0006, 0.2306, 0.7500], [0.0000, 0.0000, 0.0000], [0.0000, 0.0000, 0.5000], [0.5003, 0.0000, 0.7500], [0.4997, 0.0000, 0.2500], [0.5002, 0.5000, 0.7500], [0.4998, 0.5000, 0.2500]]}